Below is a geometry-optimized AsP2C structure, with properties calculated at the PBE-GGA level.

Values from the calculation:
Polymorph energy (0 for the lowest one): 0 meV/atom
Calculated formation energy: 0.688 eV/atom
Space group: I-42d, No. 122
M_tot: 0.0 Bohr magnetons per cell
Raw total energy: -21.9 eV per formula unit

Cell lengths 5.6273, 5.6273, 5.4499 Å; angles 58.92, 58.92, 90.00 degrees
Closest atoms and distances in Å follow each position.
Element x y z (fractional)
P 0.5374 0.1250 0.2500  2 C 1.92
P 0.2126 0.6250 0.2500  2 C 1.92
P 0.3750 0.4626 0.7500  2 C 1.92
P 0.8750 0.7874 0.7500  2 C 1.92
As 0.0000 0.0000 0.0000  4 P 2.54
As 0.7500 0.2500 0.5000  4 P 2.54
C 0.5000 0.5000 0.0000  4 P 1.92
C 0.2500 0.7500 0.5000  4 P 1.92